{
  "formula": "La2AgPt",
  "functional": "PBE",
  "state": "relaxed",
  "energy_ev_per_cell": -21.47,
  "dos_at_fermi_per_ev_atom": 0.756,
  "sg": "R-3m, No. 166",
  "lattice": [[-3.773, 2.009, 0.434], [-3.566, -2.269, 0.767], [-1.267, 0.539, 7.702]],
  "species": ["Ag", "Pt", "La", "La"],
  "frac_coords": [[0.250, 0.250, 0.250], [0.750, 0.750, 0.750], [0.490, 0.490, 0.529], [0.010, 0.010, 0.971]]
}